Record 1
GdTm2Au after structural relaxation, computed with PBE-GGA. Values from VASP.

Cell and atoms, written as Quantum ESPRESSO input:
```
&SYSTEM
  ibrav = 0, nat = 4, ntyp = 3
/
ATOMIC_SPECIES
Gd 157.25 Gd.upf
Tm 168.93 Tm.upf
Au 196.97 Au.upf
CELL_PARAMETERS angstrom
3.5496 0.0000 0.0000
0.0000 3.5496 0.0000
0.0000 0.0000 8.6671
ATOMIC_POSITIONS crystal
Gd 0.5000 0.5000 0.5000
Tm 0.0000 0.0000 0.7986
Tm 0.0000 0.0000 0.2014
Au 0.5000 0.5000 0.0000
```

Output
As for the energy of formation from the pure elements: -40 kJ per mole of atoms. Its calculated density is 10.524 g/cm³. The calculation puts the relative energy among the computed polymorphs at 0.00 eV per formula unit. The total magnetic moment comes out at 8.111 μB/cell.

Record 2
Sm2Dy7Ho after structural relaxation, computed with PBE-GGA. Values from VASP.

Cell and atoms, written as Quantum ESPRESSO input:
```
&SYSTEM
  ibrav = 0, nat = 10, ntyp = 3
/
ATOMIC_SPECIES
Sm 150.36 Sm.upf
Dy 162.50 Dy.upf
Ho 164.93 Ho.upf
CELL_PARAMETERS angstrom
3.5068 0.0000 0.0000
0.0000 13.9424 -4.7695
0.0000 -10.5467 10.2911
ATOMIC_POSITIONS crystal
Sm 0.5000 0.7077 0.2923
Sm 0.5000 0.2923 0.7077
Dy 0.5000 0.8518 0.6557
Dy 0.5000 0.3443 0.1482
Dy 0.5000 0.5000 0.5000
Dy 0.0000 0.8145 0.1855
Dy 0.5000 0.1482 0.3443
Dy 0.5000 0.6557 0.8518
Dy 0.0000 0.1855 0.8145
Ho 0.0000 0.0000 0.0000
```

Output
As for the energy of formation from the pure elements: 15 kJ per mole of atoms. Its calculated density is 8.147 g/cm³. The calculation puts the relative energy among the computed polymorphs at 1.42 eV per formula unit. The total magnetic moment comes out at 0.000 μB/cell.

Record 3
LiY3C after structural relaxation, computed with PBE-GGA. Values from VASP.

Cell and atoms, written as Quantum ESPRESSO input:
```
&SYSTEM
  ibrav = 0, nat = 5, ntyp = 3
/
ATOMIC_SPECIES
Y 88.91 Y.upf
Li 6.94 Li.upf
C 12.01 C.upf
CELL_PARAMETERS angstrom
4.9830 0.0000 0.0000
0.0000 4.9830 0.0000
0.0000 0.0000 4.9830
ATOMIC_POSITIONS crystal
Y 0.0000 0.0000 0.5000
Y 0.0000 0.5000 0.0000
Y 0.5000 0.0000 0.0000
Li 0.5000 0.5000 0.5000
C 0.0000 0.0000 0.0000
```

Output
As for the energy of formation from the pure elements: -7 kJ per mole of atoms. Its calculated density is 3.834 g/cm³. The calculation puts the relative energy among the computed polymorphs at 0.00 eV per formula unit. The total magnetic moment comes out at 0.000 μB/cell.

Record 4
AcAsP4 after structural relaxation, computed with PBE-GGA. Values from VASP.

Cell and atoms, written as Quantum ESPRESSO input:
```
&SYSTEM
  ibrav = 0, nat = 6, ntyp = 3
/
ATOMIC_SPECIES
As 74.92 As.upf
P 30.97 P.upf
Ac 227.00 Ac.upf
CELL_PARAMETERS angstrom
-1.5283 -2.4138 -4.8132
-0.0830 -5.5801 -0.4297
-4.8864 -2.7079 -0.3449
ATOMIC_POSITIONS crystal
As 0.0000 0.0000 0.0000
P 0.6477 0.6477 0.6477
P 0.6477 0.6477 0.0569
P 0.0569 0.6477 0.6477
P 0.6477 0.0569 0.6477
Ac 0.2500 0.2500 0.2500
```

Output
As for the energy of formation from the pure elements: -15 kJ per mole of atoms. Its calculated density is 5.703 g/cm³. The total magnetic moment comes out at 0.000 μB/cell.

Copy entry 2 word for word.
Sm2Dy7Ho after structural relaxation, computed with PBE-GGA. Values from VASP.

Cell and atoms, written as Quantum ESPRESSO input:
```
&SYSTEM
  ibrav = 0, nat = 10, ntyp = 3
/
ATOMIC_SPECIES
Sm 150.36 Sm.upf
Dy 162.50 Dy.upf
Ho 164.93 Ho.upf
CELL_PARAMETERS angstrom
3.5068 0.0000 0.0000
0.0000 13.9424 -4.7695
0.0000 -10.5467 10.2911
ATOMIC_POSITIONS crystal
Sm 0.5000 0.7077 0.2923
Sm 0.5000 0.2923 0.7077
Dy 0.5000 0.8518 0.6557
Dy 0.5000 0.3443 0.1482
Dy 0.5000 0.5000 0.5000
Dy 0.0000 0.8145 0.1855
Dy 0.5000 0.1482 0.3443
Dy 0.5000 0.6557 0.8518
Dy 0.0000 0.1855 0.8145
Ho 0.0000 0.0000 0.0000
```

Output
As for the energy of formation from the pure elements: 15 kJ per mole of atoms. Its calculated density is 8.147 g/cm³. The calculation puts the relative energy among the computed polymorphs at 1.42 eV per formula unit. The total magnetic moment comes out at 0.000 μB/cell.

Look up the total magnetic moment of the first one.
8.111 μB/cell

What is the calculated density in the first record?
10.524 g/cm³

What is the formula in the third record?
LiY3C